[1]
VASP calculation (PBE) on an optimized crystal structure of PaTl2AgS4.

Structure (extended XYZ):
```
8
Lattice="-1.110 3.093 2.506 -7.530 -0.866 -2.266 -2.738 -4.299 4.093" Properties=species:S:1:pos:R:3 pbc="T T T"
Tl -2.738 -4.299 4.093
Ag -4.320 1.114 0.120
S -4.820 -1.818 3.516
S -7.338 -3.800 1.441
Pa -5.134 -2.582 0.914
Tl -1.924 -0.603 3.299
S -6.558 -0.254 0.817
S -4.040 1.729 2.892
```

Properties
For the total magnetization, the calculation gives 0.000 μB per atom. The value obtained for the uncorrected formation energy is -0.84 eV per atom.



[2]
VASP calculation (PBE) on an optimized crystal structure of PaTl3Ag2S6.

Structure (extended XYZ):
```
12
Lattice="6.866 -0.066 0.008 -3.488 5.914 0.008 -1.119 -1.938 7.114" Properties=species:S:1:pos:R:3 pbc="T T T"
Ag 3.401 1.936 0.008
Pa 0.000 0.000 0.000
S -0.029 -0.051 5.597
S 2.234 0.009 1.504
Tl 1.129 1.955 3.565
Tl 4.600 -0.049 3.565
Tl -2.342 3.960 3.565
S 2.288 3.962 1.534
S -1.109 1.940 1.504
Ag -0.023 3.913 0.008
S 3.368 1.971 5.626
S 0.024 3.902 5.626
```

Properties
For the total magnetization, the calculation gives 0.000 μB per atom. As for the density of states at the Fermi level: 9.2 states/eV/f.u. The value obtained for the uncorrected formation energy is -0.55 eV per atom.



[3]
VASP calculation (PBE) on an optimized crystal structure of Y2PaAgS6.

Structure (extended XYZ):
```
10
Lattice="-2.226 2.328 5.848 -5.705 -2.518 -1.169 1.798 -5.387 2.829" Properties=species:S:1:pos:R:3 pbc="T T T"
Y -5.050 1.039 5.188
S -1.711 -2.928 6.279
Ag -1.133 1.185 2.977
Y -1.299 -0.395 7.187
S -4.640 -4.220 5.679
S -2.634 -0.162 4.827
S -0.337 0.353 0.886
S -5.563 -1.455 4.227
Pa -3.273 -2.573 4.295
S -2.384 -3.502 1.961
```

Properties
For the total magnetization, the calculation gives 0.000 μB per atom. The value obtained for the uncorrected formation energy is -1.21 eV per atom.